1.
A plane-wave DFT calculation with GGA-PBE was carried out for a geometry-optimized YAg2W structure.

## Properties
Its mass density is 10.4 g cm⁻³. As for the calculated formation energy: 0.468 eV per atom. The density of states at the Fermi level is 0.9439 states/eV per atom. The distance to the lowest polymorph of the same formula is 0.45 eV/f.u.

Cell: 2.8314 4.7406 5.9528 Å, 90.00 103.61 90.00°
Last column: nearest neighbours and their distance in Å.
Space group Pm (No. 6)
Asymmetric unit:
1 Y 0.0000 0.0000 0.0000 [1 per cell]  2 Y 2.83, 5 Ag 2.88-3.10
2 Ag 0.6217 0.5000 0.2435 [1 per cell]  4 Ag 2.80-2.83, 3 W 3.01-3.13, 4 Y 3.10
3 Ag 0.7420 0.0000 0.5014 [1 per cell]  4 Ag 2.80-2.83, 1 Y 2.88, 4 W 2.98-3.00
4 W 0.3485 0.5000 0.7018 [1 per cell]  2 W 2.83, 7 Ag 2.98-3.13

=====

2.
A plane-wave DFT calculation with GGA-PBE was carried out for a geometry-optimized HoPu5Ge6 structure.

## Properties
Its mass density is 11.5 g cm⁻³. As for the calculated formation energy: -0.465 eV per atom. The density of states at the Fermi level is 2.7438 states/eV per atom.

Cell: 4.6130 8.2382 7.2591 Å, 90.00 107.60 90.00°
Last column: nearest neighbours and their distance in Å.
Space group P2/m (No. 10)
Asymmetric unit:
1 Ho 0.0000 0.0000 0.0000 [1 per cell]  8 Ge 3.06-3.08, 4 Pu 3.31-3.36
2 Pu 0.0000 0.5000 0.0000 [1 per cell]  8 Ge 3.07-3.11, 4 Pu 3.25-3.30
3 Pu 0.3264 0.0000 0.6525 [2 per cell]  8 Ge 3.04-3.15, 2 Pu 3.10-3.15, 2 Ho 3.31-3.36
4 Pu 0.3319 0.5000 0.6645 [2 per cell]  8 Ge 3.09-3.12, 4 Pu 3.22-3.30
5 Ge 0.1651 0.2497 0.3282 [4 per cell]  7 Pu 3.04-3.11, 1 Ho 3.06, 4 Ge 3.21-3.33
6 Ge 0.5000 0.2471 0.0000 [2 per cell]  2 Ho 3.08, 6 Pu 3.11-3.15, 4 Ge 3.21-3.27

=====

3.
A plane-wave DFT calculation with GGA-PBE was carried out for a geometry-optimized La2Br2Cl structure.

## Properties
Its mass density is 5.1 g cm⁻³. The density of states at the Fermi level is 0.6116 states/eV per atom. The distance to the lowest polymorph of the same formula is 0.00 eV/f.u.

Cell: 13.0451 6.0164 8.4935 Å, 90.00 112.82 90.00°
Last column: nearest neighbours and their distance in Å.
Space group C2/m (No. 12)
Asymmetric unit:
1 La 0.0067 0.0000 0.2732 [4 per cell]  2 Cl 2.91-2.97, 4 Br 3.01-3.12
2 La 0.1622 0.5000 0.5775 [4 per cell]  1 Cl 2.93, 5 Br 3.05-3.10
3 Br 0.0158 0.5000 0.7913 [4 per cell]  4 La 3.05-3.10
4 Br 0.1955 0.0000 0.6375 [4 per cell]  5 La 3.01-3.12
5 Cl 0.1536 0.0000 0.0877 [4 per cell]  3 La 2.91-2.97

=====

Question: Among the records above, which one has the highest mass density?
Answer: HoPu5Ge6

=====

Please write out number 1 again, unchanged.
A plane-wave DFT calculation with GGA-PBE was carried out for a geometry-optimized YAg2W structure.

## Properties
Its mass density is 10.4 g cm⁻³. As for the calculated formation energy: 0.468 eV per atom. The density of states at the Fermi level is 0.9439 states/eV per atom. The distance to the lowest polymorph of the same formula is 0.45 eV/f.u.

Cell: 2.8314 4.7406 5.9528 Å, 90.00 103.61 90.00°
Last column: nearest neighbours and their distance in Å.
Space group Pm (No. 6)
Asymmetric unit:
1 Y 0.0000 0.0000 0.0000 [1 per cell]  2 Y 2.83, 5 Ag 2.88-3.10
2 Ag 0.6217 0.5000 0.2435 [1 per cell]  4 Ag 2.80-2.83, 3 W 3.01-3.13, 4 Y 3.10
3 Ag 0.7420 0.0000 0.5014 [1 per cell]  4 Ag 2.80-2.83, 1 Y 2.88, 4 W 2.98-3.00
4 W 0.3485 0.5000 0.7018 [1 per cell]  2 W 2.83, 7 Ag 2.98-3.13

=====

Copy entry 3 word for word.
A plane-wave DFT calculation with GGA-PBE was carried out for a geometry-optimized La2Br2Cl structure.

## Properties
Its mass density is 5.1 g cm⁻³. The density of states at the Fermi level is 0.6116 states/eV per atom. The distance to the lowest polymorph of the same formula is 0.00 eV/f.u.

Cell: 13.0451 6.0164 8.4935 Å, 90.00 112.82 90.00°
Last column: nearest neighbours and their distance in Å.
Space group C2/m (No. 12)
Asymmetric unit:
1 La 0.0067 0.0000 0.2732 [4 per cell]  2 Cl 2.91-2.97, 4 Br 3.01-3.12
2 La 0.1622 0.5000 0.5775 [4 per cell]  1 Cl 2.93, 5 Br 3.05-3.10
3 Br 0.0158 0.5000 0.7913 [4 per cell]  4 La 3.05-3.10
4 Br 0.1955 0.0000 0.6375 [4 per cell]  5 La 3.01-3.12
5 Cl 0.1536 0.0000 0.0877 [4 per cell]  3 La 2.91-2.97